1.
LuHfPdRh after structural relaxation. Source: Alexandria, functional PBE.

Its total energy is -121.4 eV for the cell shown. The calculation puts the calculated volume at 18.75 Å³ per atom. The calculation puts the calculated density at 12.5 g/cm3. The calculation puts the formation energy at -831 meV per atom.

Cell: 6.694 6.694 6.694 Å, 90.00 90.00 90.00°
Space group F-43m (No. 216)
One atom of each set of equivalent atoms:
Lu: 0.000 0.000 0.000 [4 per cell]
Hf: 0.000 0.000 0.500 [4 per cell]
Pd: 0.250 0.250 0.250 [4 per cell]
Rh: 0.250 0.250 0.750 [4 per cell]


2.
YHo3Zn8 after structural relaxation. Source: Alexandria, functional PBE.

Its total energy is -34.3 eV for the cell shown. The calculation puts the calculated volume at 19.08 Å³ per atom. The calculation puts the calculated density at 8.0 g/cm3. The calculation puts the formation energy at -328 meV per atom.

Cell: 5.5258 5.5258 8.6592 Å, 90.00 90.00 120.00°
Space group P3m1 (No. 156)
One atom of each set of equivalent atoms:
Y: 0.0000 0.0000 0.0000 [1 per cell]
Ho: 0.0000 0.0000 0.3830 [1 per cell]
Ho: 0.6667 0.3333 0.4983 [1 per cell]
Ho: 0.6667 0.3333 0.8803 [1 per cell]
Zn: 0.1646 0.3293 0.6899 [3 per cell]
Zn: 0.3333 0.6667 0.4403 [1 per cell]
Zn: 0.3333 0.6667 0.9405 [1 per cell]
Zn: 0.5023 0.0047 0.1905 [3 per cell]


What is the calculated volume in the first record? 18.75 Å³ per atom


What did the second record say?
YHo3Zn8 after structural relaxation. Source: Alexandria, functional PBE.

Its total energy is -34.3 eV for the cell shown. The calculation puts the calculated volume at 19.08 Å³ per atom. The calculation puts the calculated density at 8.0 g/cm3. The calculation puts the formation energy at -328 meV per atom.

Cell: 5.5258 5.5258 8.6592 Å, 90.00 90.00 120.00°
Space group P3m1 (No. 156)
One atom of each set of equivalent atoms:
Y: 0.0000 0.0000 0.0000 [1 per cell]
Ho: 0.0000 0.0000 0.3830 [1 per cell]
Ho: 0.6667 0.3333 0.4983 [1 per cell]
Ho: 0.6667 0.3333 0.8803 [1 per cell]
Zn: 0.1646 0.3293 0.6899 [3 per cell]
Zn: 0.3333 0.6667 0.4403 [1 per cell]
Zn: 0.3333 0.6667 0.9405 [1 per cell]
Zn: 0.5023 0.0047 0.1905 [3 per cell]